# TeOsPb2

A geometry-optimized TeOsPb2 structure (PBE-GGA, the Alexandria database).

Computed properties:
The calculated volume comes out at 24.12 A^3/atom. The spin magnetization is 0.0 μB/cell. As for the uncorrected formation energy: 0.9025 eV/atom. Its energy is -4.5445 eV per atom.

Cell: 3.5382 5.0448 5.4043 Å, 90.00 90.00 90.00°
Space group Pmmm (No. 47)
Asymmetric unit:
Te: 0.0000 0.0000 0.0000 x1
Os: 0.5000 0.5000 0.0000 x1
Pb: 0.0000 0.5000 0.5000 x1
Pb: 0.5000 0.0000 0.5000 x1

=====

# LiAgPt2

A geometry-optimized LiAgPt2 structure (PBE-GGA, the Alexandria database).

Computed properties:
The calculated volume comes out at 15.55 A^3/atom. The energy of formation from the pure elements is -0.31 eV/atom. The spin magnetization is 0.0 μB/cell. Its energy is -4.5237 eV per atom.

Cell: 2.8200 4.6729 4.7215 Å, 90.00 90.00 90.00°
Space group Pmm2 (No. 25)
Asymmetric unit:
Li: 0.0000 0.0000 0.0000 x1
Ag: 0.5000 0.5000 0.0514 x1
Pt: 0.0000 0.5000 0.5496 x1
Pt: 0.5000 0.0000 0.5094 x1

=====

# GaPt

A geometry-optimized GaPt structure (PBE-GGA, the Alexandria database).

Computed properties:
The calculated volume comes out at 17.08 A^3/atom. The energy of formation from the pure elements is -0.58 eV/atom. The spin magnetization is 0.0 μB/cell. Its energy is -5.1148 eV per atom.

Cell: 3.3981 5.5316 7.2691 Å, 90.00 90.00 90.00°
Space group Immm (No. 71)
Asymmetric unit:
Ga: 0.0000 0.0000 0.2032 x4
Pt: 0.0000 0.2502 0.5000 x4

=====

# CoCuBr3

A geometry-optimized CoCuBr3 structure (PBE-GGA, the Alexandria database).

Computed properties:
The calculated volume comes out at 24.29 A^3/atom. The spin magnetization is 1.8 μB/cell. As for the uncorrected formation energy: 0.2972 eV/atom. Its energy is -2.9469 eV per atom.

Cell: 4.9522 4.9522 4.9522 Å, 90.00 90.00 90.00°
Space group Pm-3m (No. 221)
Asymmetric unit:
Co: 0.0000 0.0000 0.0000 x1
Cu: 0.5000 0.5000 0.5000 x1
Br: 0.0000 0.0000 0.5000 x3

=====

# Sm6BiTe3

A geometry-optimized Sm6BiTe3 structure (PBE-GGA, the Alexandria database).

Computed properties:
The calculated volume comes out at 32.71 A^3/atom. The spin magnetization is 0.0 μB/cell. As for the uncorrected formation energy: -0.9565 eV/atom. Its energy is -5.1186 eV per atom.

Cell: 12.4633 4.2412 12.8146 Å, 90.00 105.05 90.00°
Space group P2_1/m (No. 11)
Asymmetric unit:
Sm: 0.0150 0.2500 0.3576 x2
Sm: 0.0792 0.2500 0.8897 x2
Sm: 0.2532 0.7500 0.2984 x2
Sm: 0.2885 0.7500 0.7660 x2
Sm: 0.3789 0.2500 0.5410 x2
Sm: 0.4522 0.7500 0.1184 x2
Bi: 0.4553 0.2500 0.3111 x2
Te: 0.1097 0.2500 0.1453 x2
Te: 0.1761 0.7500 0.5131 x2
Te: 0.3337 0.2500 0.9524 x2

=====

# Ce2Si3Ni12Au

A geometry-optimized Ce2Si3Ni12Au structure (PBE-GGA, the Alexandria database).

Computed properties:
The calculated volume comes out at 13.76 A^3/atom. The spin magnetization is 0.0 μB/cell. As for the uncorrected formation energy: -0.1428 eV/atom. Its energy is -5.7423 eV per atom.

Cell: 8.4461 8.4461 12.0276 Å, 90.00 90.00 120.00°
Space group R-3m (No. 166, hexagonal axes)
Asymmetric unit:
Ce: 0.0000 0.0000 0.1441 x6
Si: 0.0000 0.5000 0.0000 x9
Ni: 0.0100 0.5050 0.8106 x18
Ni: 0.0170 0.5085 0.3899 x18
Au: 0.0000 0.0000 0.5000 x3

=====

# Nd2Zn3Ni5

A geometry-optimized Nd2Zn3Ni5 structure (PBE-GGA, the Alexandria database).

Computed properties:
The calculated volume comes out at 16.49 A^3/atom. The energy of formation from the pure elements is -0.28 eV/atom. The spin magnetization is 0.0 μB/cell. Its energy is -4.5099 eV per atom.

Cell: 9.8280 12.2268 5.4884 Å, 90.00 90.00 90.00°
Space group Ibam (No. 72)
Asymmetric unit:
Nd: 0.2353 0.1263 0.0000 x8
Zn: 0.0000 0.5000 0.2500 x4
Zn: 0.0915 0.1456 0.5000 x8
Ni: 0.0000 0.0000 0.2500 x4
Ni: 0.0000 0.2943 0.2500 x8
Ni: 0.1633 0.3870 0.0000 x8

=====

# PmEr2Cd2In2

A geometry-optimized PmEr2Cd2In2 structure (PBE-GGA, the Alexandria database).

Computed properties:
The calculated volume comes out at 27.15 A^3/atom. The energy of formation from the pure elements is -0.26 eV/atom. The spin magnetization is 0.0 μB/cell. Its energy is -3.2840 eV per atom.

Cell: 4.9533 4.9533 26.8305 Å, 90.00 90.00 120.00°
Space group R-3m (No. 166, hexagonal axes)
Asymmetric unit:
Pm: 0.0000 0.0000 0.0000 x3
Er: 0.0000 0.0000 0.1291 x6
Cd: 0.0000 0.0000 0.4022 x6
In: 0.0000 0.0000 0.2570 x6